DFT (GGA-PBEsol) results for a relaxed structure of SbTeRu2.

Summary:
Symmetry: No. 44
Energy relative to the elements, uncorrected (eV per atom): 0.32
Uncorrected energy (eV for the cell shown): -54.3
Total moment (μB/f.u.): 0.000
ρ (g cm⁻³): 10.221

```
SbTeRu2
1.0
3.2291 0.0000 0.0000
0.0000 4.4226 0.0000
0.0000 0.0000 10.2727
Sb Te Ru
2 2 4
Direct
0.0000 0.0000 0.0000
0.5000 0.5000 0.5000
0.0000 0.5000 0.2262
0.5000 0.0000 0.7262
0.0000 0.0000 0.5199
0.0000 0.5000 0.7140
0.5000 0.0000 0.2140
0.5000 0.5000 0.0199
```

---

DFT (GGA-PBEsol) results for a relaxed structure of SrSc2Cd.

Summary:
Symmetry: No. 123
ΔE_f (kJ per mole of atoms): 11.50
Uncorrected energy (eV for the cell shown): -15.8
Total moment (μB/f.u.): 0.006
ρ (g cm⁻³): 4.591

```
SrSc2Cd
1.0
4.6717 0.0000 0.0000
0.0000 4.6717 0.0000
0.0000 0.0000 4.8049
Sr Sc Cd
1 2 1
Direct
0.0000 0.0000 0.0000
0.0000 0.5000 0.5000
0.5000 0.0000 0.5000
0.5000 0.5000 0.0000
```